[1]
# Tb2TmScS6

A relaxed Tb2TmScS6 crystal (PBE, the Alexandria database).

a b c (Å): 6.801 6.801 7.221
angles (deg): 61.91 61.91 59.99
Fractional positions:
Tb 0.520 0.520 0.440
Tb 0.018 0.018 0.945
Tm 0.817 0.818 0.548
Sc 0.320 0.320 0.041
S 0.596 0.209 0.254
S 0.208 0.941 0.254
S 0.941 0.596 0.254
S 0.428 0.702 0.760
S 0.702 0.110 0.760
S 0.110 0.428 0.760

Values from the calculation:
Fermi-level density of states ... 0.00 states/eV/f.u.
E_tot ... -6.49 eV per atom
Energy relative to the elements, uncorrected ... -2.008 eV/atom
Symmetry ... No. 146

[2]
# FePdS2Cl

A relaxed FePdS2Cl crystal (PBE, the Alexandria database).

a b c (Å): 4.667 4.667 4.694
angles (deg): 90.00 90.00 90.00
Last column: magnetic moment on the atom in μB.
Fractional positions:
S 0.000 0.500 0.000  0.17
S 0.500 0.000 0.000  0.17
Fe 0.500 0.500 0.500  3.47
Pd 0.000 0.000 0.000  0.06
Cl 0.000 0.000 0.500  0.05

Values from the calculation:
Fermi-level density of states ... 5.62 states/eV/f.u.
E_tot ... -4.13 eV per atom
Energy relative to the elements, uncorrected ... 0.618 eV/atom
Symmetry ... No. 123

[3]
# Pm8Sm2Sc3

A relaxed Pm8Sm2Sc3 crystal (PBE, the Alexandria database).

a b c (Å): 5.987 8.796 8.796
angles (deg): 81.20 72.69 72.69
Fractional positions:
Pm 0.234 0.584 0.584
Pm 0.766 0.416 0.416
Pm 0.885 0.136 0.136
Pm 0.115 0.864 0.864
Pm 0.647 0.612 0.080
Pm 0.647 0.080 0.612
Pm 0.353 0.920 0.388
Pm 0.353 0.388 0.920
Sm 0.332 0.317 0.317
Sm 0.668 0.683 0.683
Sc 0.500 0.000 0.000
Sc 0.000 0.265 0.735
Sc 0.000 0.735 0.265

Values from the calculation:
Fermi-level density of states ... 19.59 states/eV/f.u.
ΔE_f ... 0.179 eV/atom
E_tot ... -4.93 eV per atom
Symmetry ... No. 12

[4]
# PmY2Ho3Te6

A relaxed PmY2Ho3Te6 crystal (PBE, the Alexandria database).

a b c (Å): 4.344 8.789 9.775
angles (deg): 103.15 102.84 90.00
Fractional positions:
Pm 0.500 0.000 0.000
Y 0.836 0.671 0.671
Y 0.164 0.329 0.329
Ho 0.500 0.500 0.000
Ho 0.837 0.167 0.674
Ho 0.163 0.833 0.326
Te 0.329 0.917 0.658
Te 0.667 0.585 0.334
Te 0.671 0.083 0.342
Te 0.000 0.258 0.000
Te 0.000 0.742 0.000
Te 0.333 0.415 0.666

Values from the calculation:
Fermi-level density of states ... 6.59 states/eV/f.u.
E_tot ... -5.48 eV per atom
Energy relative to the elements, uncorrected ... -1.295 eV/atom
Symmetry ... No. 12

[5]
# Rb2ZrSi3O10

A relaxed Rb2ZrSi3O10 crystal (PBE, the Alexandria database).

a b c (Å): 7.425 10.799 13.441
angles (deg): 90.00 90.00 90.00
Last column: magnetic moment on the atom in μB.
Fractional positions:
Rb 0.324 0.766 0.112  0.00
Rb 0.824 0.734 0.888  0.00
Rb 0.676 0.266 0.388  0.00
Rb 0.176 0.234 0.612  0.00
Rb 0.755 0.588 0.589  0.00
Rb 0.255 0.912 0.411  0.00
Rb 0.245 0.088 0.911  0.00
Rb 0.745 0.412 0.089  0.00
Zr 0.245 0.569 0.721  0.00
Zr 0.745 0.931 0.279  0.00
Zr 0.755 0.069 0.779  0.00
Zr 0.255 0.431 0.221  0.00
Si 0.465 0.846 0.675  0.00
Si 0.965 0.654 0.325  0.00
Si 0.535 0.346 0.825  0.00
Si 0.035 0.154 0.175  0.00
Si 0.759 0.960 0.548  0.00
Si 0.259 0.540 0.452  0.00
Si 0.241 0.460 0.952  0.00
Si 0.741 0.040 0.048  0.00
Si 0.941 0.360 0.826  0.00
Si 0.441 0.140 0.174  0.00
Si 0.059 0.860 0.674  0.00
Si 0.559 0.640 0.326  0.00
O 0.248 0.578 0.877  0.02
O 0.748 0.922 0.123  0.02
O 0.752 0.078 0.623  0.02
O 0.252 0.422 0.377  0.02
O 0.448 0.700 0.699  0.00
O 0.948 0.800 0.301  0.00
O 0.552 0.200 0.801  0.00
O 0.052 0.300 0.199  0.00
O 0.243 0.506 0.569  0.16
O 0.743 0.994 0.431  0.16
O 0.757 0.006 0.931  0.16
O 0.257 0.494 0.069  0.16
O 0.025 0.443 0.737  0.00
O 0.525 0.057 0.263  0.00
O 0.975 0.943 0.763  0.00
O 0.475 0.557 0.237  0.00
O 0.439 0.425 0.736  0.17
O 0.939 0.075 0.264  0.17
O 0.561 0.925 0.764  0.17
O 0.061 0.575 0.236  0.17
O 0.058 0.713 0.702  0.01
O 0.558 0.787 0.298  0.01
O 0.942 0.213 0.798  0.01
O 0.442 0.287 0.202  0.01
O 0.266 0.907 0.647  0.00
O 0.766 0.593 0.353  0.00
O 0.734 0.407 0.853  0.00
O 0.234 0.093 0.147  0.00
O 0.946 0.880 0.569  0.00
O 0.446 0.620 0.431  0.00
O 0.054 0.380 0.931  0.00
O 0.554 0.120 0.069  0.00
O 0.588 0.865 0.573  0.02
O 0.088 0.635 0.427  0.02
O 0.412 0.365 0.927  0.02
O 0.912 0.135 0.073  0.02
O 0.500 0.874 0.927  1.26
O 0.000 0.626 0.073  1.26
O 0.500 0.374 0.573  1.26
O 0.000 0.126 0.427  1.26

Values from the calculation:
E_tot ... -7.24 eV per atom
Energy relative to the elements, uncorrected ... -2.473 eV/atom
Symmetry ... No. 19

[6]
# TbPmAu

A relaxed TbPmAu crystal (PBE, the Alexandria database).

a b c (Å): 5.049 5.049 5.049
angles (deg): 60.00 60.00 60.00
Fractional positions:
Tb 0.000 0.000 0.000
Au 0.250 0.250 0.250
Pm 0.500 0.500 0.500

Values from the calculation:
Fermi-level density of states ... 4.42 states/eV/f.u.
ΔE_f ... -0.400 eV/atom
E_tot ... -4.62 eV per atom
Symmetry ... No. 216

[7]
# MnPtS2Cl

A relaxed MnPtS2Cl crystal (PBE, the Alexandria database).

a b c (Å): 4.746 4.746 4.798
angles (deg): 90.00 90.00 90.00
Last column: magnetic moment on the atom in μB.
Fractional positions:
S 0.000 0.500 0.000  -0.08
S 0.500 0.000 0.000  -0.08
Mn 0.500 0.500 0.500  4.52
Pt 0.000 0.000 0.000  -0.11
Cl 0.000 0.000 0.500  0.02

Values from the calculation:
Fermi-level density of states ... 3.90 states/eV/f.u.
E_tot ... -4.70 eV per atom
Energy relative to the elements, uncorrected ... 0.365 eV/atom
Symmetry ... No. 123

[8]
# BiPO2F

A relaxed BiPO2F crystal (PBE, the Alexandria database).

a b c (Å): 4.514 4.514 3.476
angles (deg): 90.00 90.00 90.00
Last column: magnetic moment on the atom in μB.
Fractional positions:
P 0.000 0.000 0.500  -0.02
Bi 0.500 0.500 0.500  -0.02
O 0.000 0.500 0.000  0.18
O 0.500 0.000 0.000  0.18
F 0.000 0.000 0.000  0.02

Values from the calculation:
Fermi-level density of states ... 2.40 states/eV/f.u.
E_tot ... -3.97 eV per atom
Energy relative to the elements, uncorrected ... 0.248 eV/atom
Symmetry ... No. 123

[9]
# Hf6InP

A relaxed Hf6InP crystal (PBE, the Alexandria database).

a b c (Å): 5.886 5.886 5.886
angles (deg): 103.95 103.95 103.96
Fractional positions:
Hf 0.217 0.217 0.641
Hf 0.641 0.217 0.217
Hf 0.783 0.783 0.359
Hf 0.783 0.359 0.783
Hf 0.359 0.783 0.783
Hf 0.217 0.641 0.217
In 0.000 0.000 0.000
P 0.500 0.500 0.500

Values from the calculation:
Fermi-level density of states ... 5.40 states/eV/f.u.
ΔE_f ... -0.176 eV/atom
E_tot ... -8.66 eV per atom
Symmetry ... No. 166

[10]
# ScAl2Cd

A relaxed ScAl2Cd crystal (PBE, the Alexandria database).

a b c (Å): 5.342 5.342 5.342
angles (deg): 134.17 134.16 66.83
Fractional positions:
Sc 0.250 0.750 0.500
Al 0.000 0.000 0.000
Al 0.750 0.250 0.500
Cd 0.500 0.500 0.000

Values from the calculation:
Fermi-level density of states ... 2.18 states/eV/f.u.
ΔE_f ... -0.222 eV/atom
E_tot ... -3.90 eV per atom
Symmetry ... No. 119